Model A:
The following is a PBE calculation of crystalline Al2In2Te at its relaxed geometry, from the Alexandria database.

Output
**N(E_F)**: 0.48 states/eV/atom
**Space group**: P4/mbm
**Magnetic moment**: 0.00 μB/f.u.
**ρ**: 5.531 g/cm³

a b c (Å): 8.8374 8.8374 3.1613
angles (deg): 90.00 90.00 90.00
Atoms (fractional coordinates):
Te  0.0000  0.0000  0.0000
Te  0.5000  0.5000  0.0000
Al  0.1123  0.6123  0.5000
Al  0.6123  0.8877  0.5000
Al  0.8877  0.3877  0.5000
Al  0.3877  0.1123  0.5000
In  0.3161  0.8161  0.0000
In  0.8161  0.6839  0.0000
In  0.6839  0.1839  0.0000
In  0.1839  0.3161  0.0000

=====

Model B:
The following is a PBE calculation of crystalline Al2In2Te at its relaxed geometry, from the Alexandria database.

Output
**N(E_F)**: 0.38 states/eV/atom
**Space group**: P4/mbm
**Magnetic moment**: 0.00 μB/f.u.
**ρ**: 5.640 g/cm³

a b c (Å): 8.3310 8.3310 3.4888
angles (deg): 90.00 90.00 90.00
Atoms (fractional coordinates):
Te  0.0000  0.0000  0.0000
Te  0.5000  0.5000  0.0000
Al  0.3833  0.8833  0.0000
Al  0.8833  0.6167  0.0000
Al  0.6167  0.1167  0.0000
Al  0.1167  0.3833  0.0000
In  0.1833  0.6833  0.5000
In  0.6833  0.8167  0.5000
In  0.8167  0.3167  0.5000
In  0.3167  0.1833  0.5000

=====

If we sort the structures by their calculated energies, the order from most to least stable is model B, model A.

=====

Model A:
The following is a PBE calculation of crystalline Al2In2Te at its relaxed geometry, from the Alexandria database.

Output
**N(E_F)**: 0.71 states/eV/atom
**Space group**: I4/mmm
**Magnetic moment**: 0.00 μB/f.u.
**ρ**: 5.362 g/cm³

a b c (Å): 4.4853 4.4853 7.0797
angles (deg): 71.53 71.53 90.00
Atoms (fractional coordinates):
Te  0.0000  0.0000  0.0000
Al  0.4008  0.4008  0.1984
Al  0.5992  0.5992  0.8016
In  0.7500  0.2500  0.5000
In  0.2500  0.7500  0.5000

=====

Model B:
The following is a PBE calculation of crystalline Al2In2Te at its relaxed geometry, from the Alexandria database.

Output
**N(E_F)**: 0.54 states/eV/atom
**Space group**: I4/mmm
**Magnetic moment**: 0.00 μB/f.u.
**ρ**: 5.370 g/cm³

a b c (Å): 3.9135 3.9135 8.7509
angles (deg): 77.08 77.08 90.00
Atoms (fractional coordinates):
Te  0.0000  0.0000  0.0000
Al  0.7500  0.2500  0.5000
Al  0.2500  0.7500  0.5000
In  0.3979  0.3979  0.2041
In  0.6021  0.6021  0.7959

=====

If we sort the structures by their calculated energies, the order from most to least stable is model B, model A.

=====

Model A:
The following is a PBE calculation of crystalline Th2AlIn at its relaxed geometry, from the Alexandria database.

Output
**N(E_F)**: 1.10 states/eV/atom
**Space group**: Imma
**Magnetic moment**: 0.00 μB/f.u.
**ρ**: 9.310 g/cm³

a b c (Å): 6.8015 6.6527 6.6527
angles (deg): 64.22 59.26 59.26
Atoms (fractional coordinates):
Th  0.2219  0.2781  0.7781
Th  0.2781  0.7219  0.2219
Th  0.7781  0.7219  0.2219
Th  0.7219  0.2781  0.7781
Al  0.7500  0.2114  0.2886
Al  0.2500  0.7886  0.7114
In  0.2500  0.2006  0.2994
In  0.7500  0.7994  0.7006

=====

Model B:
The following is a PBE calculation of crystalline Th2AlIn at its relaxed geometry, from the Alexandria database.

Output
**N(E_F)**: 1.12 states/eV/atom
**Space group**: Fm-3m
**Magnetic moment**: 0.02 μB/f.u.
**ρ**: 9.086 g/cm³

a b c (Å): 5.3900 5.3900 5.3900
angles (deg): 60.00 60.00 60.00
Atoms (fractional coordinates):
Al  0.5000  0.5000  0.5000
Th  0.2500  0.2500  0.2500
Th  0.7500  0.7500  0.7500
In  0.0000  0.0000  0.0000

=====

Model C:
The following is a PBE calculation of crystalline Th2AlIn at its relaxed geometry, from the Alexandria database.

Output
**N(E_F)**: 0.80 states/eV/atom
**Space group**: P4/mmm
**Magnetic moment**: 0.00 μB/f.u.
**ρ**: 9.293 g/cm³

a b c (Å): 4.5350 4.8859 4.8859
angles (deg): 90.00 90.00 90.00
Atoms (fractional coordinates):
Al  0.5000  0.5000  0.5000
Th  0.0000  0.0000  0.5000
Th  0.0000  0.5000  0.0000
In  0.5000  0.0000  0.0000

=====

Model D:
The following is a PBE calculation of crystalline Th2AlIn at its relaxed geometry, from the Alexandria database.

Output
**N(E_F)**: 1.32 states/eV/atom
**Space group**: P4/mmm
**Magnetic moment**: 0.00 μB/f.u.
**ρ**: 9.312 g/cm³

a b c (Å): 3.4470 3.4470 9.0936
angles (deg): 90.00 90.00 90.00
Atoms (fractional coordinates):
Al  0.5000  0.5000  0.0000
Th  0.0000  0.0000  0.7676
Th  0.0000  0.0000  0.2324
In  0.5000  0.5000  0.5000

=====

If we sort the structures by their calculated energies, the order from most to least stable is model D, model A, model C, model B.

=====

Model A:
The following is a PBE calculation of crystalline Th2AlIn at its relaxed geometry, from the Alexandria database.

Output
**N(E_F)**: 1.13 states/eV/atom
**Space group**: R-3m
**Magnetic moment**: 0.00 μB/f.u.
**ρ**: 9.127 g/cm³

a b c (Å): 3.4286 3.4286 11.0075
angles (deg): 81.04 81.04 60.00
Atoms (fractional coordinates):
Al  0.0000  0.0000  0.0000
Th  0.2539  0.2539  0.2382
Th  0.7461  0.7461  0.7618
In  0.5000  0.5000  0.5000

=====

Model B:
The following is a PBE calculation of crystalline Th2AlIn at its relaxed geometry, from the Alexandria database.

Output
**N(E_F)**: 1.17 states/eV/atom
**Space group**: Amm2
**Magnetic moment**: 0.00 μB/f.u.
**ρ**: 9.295 g/cm³

a b c (Å): 3.4264 5.7033 5.7033
angles (deg): 103.80 90.00 90.00
Atoms (fractional coordinates):
Th  0.0000  0.8981  0.3448
Th  0.0000  0.3448  0.8981
Al  0.5000  0.8359  0.8359
In  0.5000  0.4199  0.4199

=====

If we sort the structures by their calculated energies, the order from most to least stable is model B, model A.

=====

Model A:
The following is a PBE calculation of crystalline Ti4AlIn at its relaxed geometry, from the Alexandria database.

Output
**N(E_F)**: 1.04 states/eV/atom
**Space group**: C2/m
**Magnetic moment**: 0.00 μB/f.u.
**ρ**: 5.256 g/cm³

a b c (Å): 3.0239 5.1622 7.4851
angles (deg): 101.27 78.35 72.97
Atoms (fractional coordinates):
Ti  0.8439  0.4878  0.8245
Ti  0.3254  0.0070  0.3422
Ti  0.1561  0.5122  0.1755
Ti  0.6746  0.9930  0.6578
Al  0.5000  0.5000  0.5000
In  0.0000  0.0000  0.0000

=====

Model B:
The following is a PBE calculation of crystalline Ti4AlIn at its relaxed geometry, from the Alexandria database.

Output
**N(E_F)**: 0.68 states/eV/atom
**Space group**: Pmmn
**Magnetic moment**: 0.00 μB/f.u.
**ρ**: 5.218 g/cm³

a b c (Å): 4.6724 8.0094 5.6684
angles (deg): 90.00 90.00 90.01
Atoms (fractional coordinates):
Ti  0.2498  0.4295  0.7500
Ti  0.7502  0.5705  0.2500
Ti  0.2499  0.1068  0.7500
Ti  0.7501  0.8932  0.2500
Ti  0.2499  0.7304  0.0070
Ti  0.7501  0.2696  0.5070
Ti  0.2499  0.7304  0.4930
Ti  0.7501  0.2696  0.9930
Al  0.7499  0.5905  0.7500
Al  0.2501  0.4095  0.2500
In  0.7499  0.9245  0.7500
In  0.2501  0.0755  0.2500

=====

If we sort the structures by their calculated energies, the order from most to least stable is model A, model B.

=====

Model A:
The following is a PBE calculation of crystalline Ti2Al2In at its relaxed geometry, from the Alexandria database.

Output
**N(E_F)**: 1.34 states/eV/atom
**Space group**: P4/mbm
**Magnetic moment**: 0.00 μB/f.u.
**ρ**: 4.974 g/cm³

a b c (Å): 7.3806 7.3806 3.2425
angles (deg): 90.00 90.00 90.00
Atoms (fractional coordinates):
Ti  0.1756  0.6756  0.5000
Ti  0.6756  0.8244  0.5000
Ti  0.8244  0.3244  0.5000
Ti  0.3244  0.1756  0.5000
Al  0.3791  0.8791  0.0000
Al  0.8791  0.6209  0.0000
Al  0.6209  0.1209  0.0000
Al  0.1209  0.3791  0.0000
In  0.0000  0.0000  0.0000
In  0.5000  0.5000  0.0000

=====

Model B:
The following is a PBE calculation of crystalline Ti2Al2In at its relaxed geometry, from the Alexandria database.

Output
**N(E_F)**: 0.81 states/eV/atom
**Space group**: P4/mbm
**Magnetic moment**: 0.94 μB/f.u.
**ρ**: 4.724 g/cm³

a b c (Å): 7.7065 7.7065 3.1313
angles (deg): 90.00 90.00 90.00
Site moments in Bohr magnetons follow the coordinates.
Atoms (fractional coordinates):
Ti  0.3794  0.8794  0.0000  0.40
Ti  0.8794  0.6206  0.0000  0.39
Ti  0.6206  0.1206  0.0000  0.40
Ti  0.1206  0.3794  0.0000  0.39
Al  0.1780  0.6780  0.5000  -0.01
Al  0.6780  0.8220  0.5000  -0.01
Al  0.8220  0.3220  0.5000  -0.01
Al  0.3220  0.1780  0.5000  -0.01
In  0.0000  0.0000  0.0000  0.00
In  0.5000  0.5000  0.0000  0.00

=====

If we sort the structures by their calculated energies, the order from most to least stable is model A, model B.

=====

Model A:
The following is a PBE calculation of crystalline Ti6AlIn2 at its relaxed geometry, from the Alexandria database.

Output
**N(E_F)**: 1.27 states/eV/atom
**Space group**: Immm
**Magnetic moment**: 1.43 μB/f.u.
**ρ**: 4.684 g/cm³

a b c (Å): 4.4400 6.4140 7.8123
angles (deg): 114.24 106.49 90.00
Site moments in Bohr magnetons follow the coordinates.
Atoms (fractional coordinates):
Ti  0.1627  0.3969  0.3252  0.51
Ti  0.8373  0.0717  0.6748  0.51
Ti  0.8373  0.6031  0.6748  0.51
Ti  0.5000  0.2302  0.0000  -0.44
Ti  0.1627  0.9283  0.3252  0.51
Ti  0.5000  0.7698  0.0000  -0.44
Al  0.0000  0.0000  0.0000  0.00
In  0.6626  0.6626  0.3253  -0.02
In  0.3374  0.3374  0.6747  -0.02

=====

Model B:
The following is a PBE calculation of crystalline Ti6AlIn2 at its relaxed geometry, from the Alexandria database.

Output
**N(E_F)**: 1.18 states/eV/atom
**Space group**: Immm
**Magnetic moment**: 0.00 μB/f.u.
**ρ**: 5.227 g/cm³

a b c (Å): 4.8300 7.9230 7.9230
angles (deg): 37.00 72.25 72.25
Atoms (fractional coordinates):
Ti  0.1944  0.5549  0.0563
Ti  0.8056  0.4451  0.9437
Ti  0.8056  0.9437  0.4451
Ti  0.0000  0.2528  0.7472
Ti  0.0000  0.7472  0.2528
Ti  0.1944  0.0563  0.5549
Al  0.5000  0.5000  0.5000
In  0.3870  0.1130  0.1130
In  0.6130  0.8870  0.8870

=====

If we sort the structures by their calculated energies, the order from most to least stable is model B, model A.

=====

Model A:
The following is a PBE calculation of crystalline AlTl2In at its relaxed geometry, from the Alexandria database.

Output
**N(E_F)**: 0.38 states/eV/atom
**Space group**: P4mm
**Magnetic moment**: 0.00 μB/f.u.
**ρ**: 8.522 g/cm³

a b c (Å): 3.4365 3.4365 9.0845
angles (deg): 90.00 90.00 90.00
Atoms (fractional coordinates):
Tl  0.0000  0.0000  0.9843
Tl  0.5000  0.5000  0.2897
Al  0.0000  0.0000  0.5149
In  0.5000  0.5000  0.7111

=====

Model B:
The following is a PBE calculation of crystalline AlTl2In at its relaxed geometry, from the Alexandria database.

Output
**N(E_F)**: 0.34 states/eV/atom
**Space group**: P4/mmm
**Magnetic moment**: 0.00 μB/f.u.
**ρ**: 8.576 g/cm³

a b c (Å): 3.4361 3.4361 9.0293
angles (deg): 90.00 90.00 90.00
Atoms (fractional coordinates):
Tl  0.0000  0.0000  0.0247
Tl  0.0000  0.0000  0.4753
Al  0.5000  0.5000  0.2500
In  0.5000  0.5000  0.7500

=====

Model C:
The following is a PBE calculation of crystalline AlTl2In at its relaxed geometry, from the Alexandria database.

Output
**N(E_F)**: 0.24 states/eV/atom
**Space group**: C2/m
**Magnetic moment**: 0.00 μB/f.u.
**ρ**: 8.436 g/cm³

a b c (Å): 6.2070 6.2070 3.2611
angles (deg): 81.82 81.82 116.39
Atoms (fractional coordinates):
Tl  0.0000  0.0000  0.0000
Tl  0.5000  0.5000  0.0000
Al  0.5000  0.0000  0.5000
In  0.0000  0.5000  0.5000

=====

Model D:
The following is a PBE calculation of crystalline AlTl2In at its relaxed geometry, from the Alexandria database.

Output
**N(E_F)**: 0.35 states/eV/atom
**Space group**: F-43m
**Magnetic moment**: 0.00 μB/f.u.
**ρ**: 8.472 g/cm³

a b c (Å): 5.3440 5.3440 5.3440
angles (deg): 60.00 60.00 60.00
Atoms (fractional coordinates):
Tl  0.0000  0.0000  0.0000
Tl  0.2500  0.2500  0.2500
Al  0.5000  0.5000  0.5000
In  0.7500  0.7500  0.7500

=====

If we sort the structures by their calculated energies, the order from most to least stable is model A, model B, model D, model C.

=====

Model A:
The following is a PBE calculation of crystalline Al2TlIn at its relaxed geometry, from the Alexandria database.

Output
**N(E_F)**: 0.28 states/eV/atom
**Space group**: Cmmm
**Magnetic moment**: 0.00 μB/f.u.
**ρ**: 6.575 g/cm³

a b c (Å): 3.2003 3.2003 10.6329
angles (deg): 90.00 90.00 120.07
Atoms (fractional coordinates):
Tl  0.5000  0.5000  0.7500
Al  0.0000  0.0000  0.0056
Al  0.0000  0.0000  0.4944
In  0.5000  0.5000  0.2500

=====

Model B:
The following is a PBE calculation of crystalline Al2TlIn at its relaxed geometry, from the Alexandria database.

Output
**N(E_F)**: 0.22 states/eV/atom
**Space group**: Pmmm
**Magnetic moment**: 0.00 μB/f.u.
**ρ**: 6.643 g/cm³

a b c (Å): 3.3560 4.2320 6.5674
angles (deg): 90.00 90.00 90.00
Atoms (fractional coordinates):
Tl  0.5000  0.5000  0.7500
Al  0.0000  0.0000  0.0257
Al  0.0000  0.0000  0.4743
In  0.5000  0.5000  0.2500

=====

Model C:
The following is a PBE calculation of crystalline Al2TlIn at its relaxed geometry, from the Alexandria database.

Output
**N(E_F)**: 0.44 states/eV/atom
**Space group**: Immm
**Magnetic moment**: 0.00 μB/f.u.
**ρ**: 6.589 g/cm³

a b c (Å): 5.9518 5.9518 5.9518
angles (deg): 145.78 126.60 64.97
Atoms (fractional coordinates):
Tl  0.2500  0.7500  0.5000
Al  0.9952  0.9952  0.0000
Al  0.5048  0.5048  0.0000
In  0.7500  0.2500  0.5000

=====

Model D:
The following is a PBE calculation of crystalline Al2TlIn at its relaxed geometry, from the Alexandria database.

Output
**N(E_F)**: 0.37 states/eV/atom
**Space group**: F-43m
**Magnetic moment**: 0.00 μB/f.u.
**ρ**: 6.538 g/cm³

a b c (Å): 5.1178 5.1178 5.1178
angles (deg): 60.00 60.00 60.00
Atoms (fractional coordinates):
Tl  0.2500  0.2500  0.2500
Al  0.0000  0.0000  0.0000
Al  0.7500  0.7500  0.7500
In  0.5000  0.5000  0.5000

=====

If we sort the structures by their calculated energies, the order from most to least stable is model B, model A, model D, model C.

=====

Model A:
The following is a PBE calculation of crystalline Al2TlIn2 at its relaxed geometry, from the Alexandria database.

Output
**N(E_F)**: 0.57 states/eV/atom
**Space group**: P4/mbm
**Magnetic moment**: 0.00 μB/f.u.
**ρ**: 6.618 g/cm³

a b c (Å): 8.8542 8.8542 3.1236
angles (deg): 90.00 90.00 90.00
Atoms (fractional coordinates):
Tl  0.0000  0.0000  0.0000
Tl  0.5000  0.5000  0.0000
Al  0.1475  0.6476  0.5000
Al  0.6476  0.8524  0.5000
Al  0.8524  0.3524  0.5000
Al  0.3524  0.1475  0.5000
In  0.3510  0.8510  0.0000
In  0.8510  0.6490  0.0000
In  0.6490  0.1490  0.0000
In  0.1490  0.3510  0.0000

=====

Model B:
The following is a PBE calculation of crystalline Al2TlIn2 at its relaxed geometry, from the Alexandria database.

Output
**N(E_F)**: 0.23 states/eV/atom
**Space group**: I4/mmm
**Magnetic moment**: 0.00 μB/f.u.
**ρ**: 6.274 g/cm³

a b c (Å): 4.6235 4.6235 6.8695
angles (deg): 70.33 70.33 90.00
Atoms (fractional coordinates):
Tl  0.0000  0.0000  0.0000
Al  0.3930  0.3930  0.2140
Al  0.6070  0.6070  0.7860
In  0.7500  0.2500  0.5000
In  0.2500  0.7500  0.5000

=====

If we sort the structures by their calculated energies, the order from most to least stable is model B, model A.